1.
# ReAgOs | Alexandria | PBE | relaxed
data_ReAgOs
_chemical_formula_sum 'Re2 Ag2 Os2'
_cell_length_a 2.815
_cell_length_b 3.827
_cell_length_c 8.633
_cell_angle_alpha 90.00
_cell_angle_beta 90.00
_cell_angle_gamma 90.00
_space_group_name_H-M_alt 'I m m 2'
_space_group_IT_number 44
loop_
_space_group_symop_operation_xyz
'x,y,z'
'-x,-y,z'
'-x,y,z'
'x,-y,z'
'x+1/2,y+1/2,z+1/2'
'-x+1/2,-y+1/2,z+1/2'
'-x+1/2,y+1/2,z+1/2'
'x+1/2,-y+1/2,z+1/2'
loop_
_atom_site_label
_atom_site_fract_x
_atom_site_fract_y
_atom_site_fract_z
Re1 0.000 0.000 0.000
Ag1 0.000 0.000 0.681
Os1 0.000 0.000 0.362
# ΔE_f: 0.52 eV per atom

---

2.
# PmZr2TiO8 | Alexandria | PBE | relaxed
data_PmZr2TiO8
_chemical_formula_sum 'Pm2 Zr4 Ti2 O16'
_cell_length_a 6.881
_cell_length_b 7.117
_cell_length_c 6.657
_cell_angle_alpha 90.00
_cell_angle_beta 90.00
_cell_angle_gamma 90.00
_space_group_name_H-M_alt 'C m m m'
_space_group_IT_number 65
_space_group_name_Hall '-C 2 2'
loop_
_atom_site_label
_atom_site_fract_x
_atom_site_fract_y
_atom_site_fract_z
Pm1 0.000 0.000 0.000
Zr1 0.000 0.500 0.252
Ti1 0.000 0.000 0.500
O1 0.000 0.293 0.500
O2 0.000 0.321 0.000
O3 0.197 0.000 0.289
# energy relative to the elements, uncorrected: -3006 meV per atom

---

3.
# SrAl3Te | Alexandria | PBE | relaxed
data_SrAl3Te
_chemical_formula_sum 'Sr1 Al3 Te1'
_cell_length_a 5.910
_cell_length_b 5.910
_cell_length_c 5.910
_cell_angle_alpha 90.00
_cell_angle_beta 90.00
_cell_angle_gamma 90.00
_space_group_name_H-M_alt 'P m -3 m'
_space_group_IT_number 221
_space_group_name_Hall '-P 4 2 3'
loop_
_atom_site_label
_atom_site_fract_x
_atom_site_fract_y
_atom_site_fract_z
Sr1 0.000 0.000 0.000
Al1 0.000 0.000 0.500
Te1 0.500 0.500 0.500
# energy relative to the elements, uncorrected: 1211 meV per atom

---

4.
# TlCdSe | Alexandria | PBE | relaxed
data_TlCdSe
_chemical_formula_sum 'Tl2 Cd2 Se2'
_cell_length_a 3.801
_cell_length_b 3.801
_cell_length_c 11.678
_cell_angle_alpha 90.00
_cell_angle_beta 90.00
_cell_angle_gamma 90.00
_space_group_name_H-M_alt 'I 4 m m'
_space_group_IT_number 107
_space_group_name_Hall 'I 4 -2'
loop_
_atom_site_label
_atom_site_fract_x
_atom_site_fract_y
_atom_site_fract_z
Tl1 0.000 0.000 0.000
Cd1 0.000 0.000 0.703
Se1 0.000 0.000 0.282
# energy relative to the elements, uncorrected: -153 meV per atom

---

5.
LiH4O2: relaxed, PBE.

CIF file:
```
data_LiH4O2
_chemical_formula_sum 'Li2 H8 O4'
_cell_length_a 6.732
_cell_length_b 6.732
_cell_length_c 4.241
_cell_angle_alpha 90.00
_cell_angle_beta 90.00
_cell_angle_gamma 90.00
_space_group_name_H-M_alt 'P 42/m n m'
_space_group_IT_number 136
_space_group_name_Hall '-P 4n 2n'
loop_
_atom_site_label
_atom_site_fract_x
_atom_site_fract_y
_atom_site_fract_z
Li1 0.000 0.000 0.000
H1 0.158 0.327 0.500
O1 0.197 0.803 0.000
```

---

6.
# BeTlZnS2 | Alexandria | PBE | relaxed
data_BeTlZnS2
_chemical_formula_sum 'Be1 Tl1 Zn1 S2'
_cell_length_a 5.320
_cell_length_b 5.320
_cell_length_c 4.513
_cell_angle_alpha 90.00
_cell_angle_beta 90.00
_cell_angle_gamma 90.00
_space_group_name_H-M_alt 'P 4/m m m'
_space_group_IT_number 123
_space_group_name_Hall '-P 4 2'
loop_
_atom_site_label
_atom_site_fract_x
_atom_site_fract_y
_atom_site_fract_z
Be1 0.000 0.000 0.000
Tl1 0.000 0.000 0.500
Zn1 0.500 0.500 0.000
S1 0.000 0.500 0.500
# energy relative to the elements, uncorrected: 954 meV per atom

---

7.
# Cs3TmCu2I9 | Alexandria | PBE | relaxed
data_Cs3TmCu2I9
_chemical_formula_sum 'Cs3 Tm1 Cu2 I9'
_cell_length_a 8.2729
_cell_length_b 8.2729
_cell_length_c 10.2583
_cell_angle_alpha 90.00
_cell_angle_beta 90.00
_cell_angle_gamma 120.00
_space_group_name_H-M_alt 'P -3 m 1'
_space_group_IT_number 164
_space_group_name_Hall '-P 3 2"'
loop_
_atom_site_label
_atom_site_fract_x
_atom_site_fract_y
_atom_site_fract_z
Cs1 0.0000 0.0000 0.0000
Cs2 0.3333 0.6667 0.6658
Tm1 0.0000 0.0000 0.5000
Cu1 0.3333 0.6667 0.1281
I1 0.0000 0.5000 0.0000
I2 0.1702 0.3404 0.3302
# energy relative to the elements, uncorrected: -978 meV per atom

---

8.
# LaNd5Sm2Ho | Alexandria | PBE | relaxed
data_LaNd5Sm2Ho
_chemical_formula_sum 'La4 Nd20 Sm8 Ho4'
_cell_length_a 9.009
_cell_length_b 9.009
_cell_length_c 15.640
_cell_angle_alpha 90.00
_cell_angle_beta 90.00
_cell_angle_gamma 90.00
_space_group_name_H-M_alt 'I 4/m c m'
_space_group_IT_number 140
_space_group_name_Hall '-I 4 2c'
loop_
_atom_site_label
_atom_site_fract_x
_atom_site_fract_y
_atom_site_fract_z
La1 0.000 0.000 0.250
Nd1 0.000 0.000 0.000
Nd2 0.207 0.293 0.136
Sm1 0.116 0.384 0.500
Ho1 0.000 0.500 0.250
# ΔE_f: 0.27 eV per atom

---

9.
# BaTlBr2Cl | Alexandria | PBE | relaxed
data_BaTlBr2Cl
_chemical_formula_sum 'Ba1 Tl1 Br2 Cl1'
_cell_length_a 6.369
_cell_length_b 6.369
_cell_length_c 6.031
_cell_angle_alpha 90.00
_cell_angle_beta 90.00
_cell_angle_gamma 90.00
_space_group_name_H-M_alt 'P 4 m m'
_space_group_IT_number 99
loop_
_space_group_symop_operation_xyz
'x,y,z'
'-y,x,z'
'-x,-y,z'
'y,-x,z'
'-x,y,z'
'y,x,z'
'x,-y,z'
'-y,-x,z'
loop_
_atom_site_label
_atom_site_fract_x
_atom_site_fract_y
_atom_site_fract_z
Ba1 0.000 0.000 0.000
Tl1 0.500 0.500 0.723
Br1 0.000 0.500 0.922
Cl1 0.000 0.000 0.493
# energy relative to the elements, uncorrected: -1654 meV per atom

---

10.
# TiNi2Sn2 | Alexandria | PBE | relaxed
data_TiNi2Sn2
_chemical_formula_sum 'Ti2 Ni4 Sn4'
_cell_length_a 7.096
_cell_length_b 7.096
_cell_length_c 3.263
_cell_angle_alpha 90.00
_cell_angle_beta 90.00
_cell_angle_gamma 90.00
_space_group_name_H-M_alt 'P 4/m b m'
_space_group_IT_number 127
_space_group_name_Hall '-P 4 2ab'
loop_
_atom_site_label
_atom_site_fract_x
_atom_site_fract_y
_atom_site_fract_z
Ti1 0.000 0.000 0.000
Ni1 0.123 0.377 0.000
Sn1 0.175 0.675 0.500
# ΔE_f: -0.15 eV per atom

---

11.
# Sn4S5 | Alexandria | PBE | relaxed
data_Sn4S5
_chemical_formula_sum 'Sn8 S10'
_cell_length_a 8.939
_cell_length_b 8.939
_cell_length_c 5.648
_cell_angle_alpha 90.00
_cell_angle_beta 90.00
_cell_angle_gamma 90.00
_space_group_name_H-M_alt 'I 4/m'
_space_group_IT_number 87
_space_group_name_Hall '-I 4'
loop_
_atom_site_label
_atom_site_fract_x
_atom_site_fract_y
_atom_site_fract_z
Sn1 0.094 0.293 0.000
S1 0.000 0.000 0.000
S2 0.099 0.312 0.500
# energy relative to the elements, uncorrected: -355 meV per atom

---

12.
# AlNi4Sn | Alexandria | PBE | relaxed
data_AlNi4Sn
_chemical_formula_sum 'Al4 Ni16 Sn4'
_cell_length_a 6.365
_cell_length_b 6.365
_cell_length_c 8.709
_cell_angle_alpha 90.00
_cell_angle_beta 90.00
_cell_angle_gamma 90.00
_space_group_name_H-M_alt 'I 41/a'
_space_group_IT_number 88
loop_
_space_group_symop_operation_xyz
'x,y,z'
'-x,-y,-z'
'-y+3/4,x+1/4,z+1/4'
'y+3/4,-x+1/4,-z+1/4'
'-x+1/2,-y,z+1/2'
'x+1/2,y,-z+1/2'
'y+3/4,-x+3/4,z+3/4'
'-y+3/4,x+3/4,-z+3/4'
'x+1/2,y+1/2,z+1/2'
'-x+1/2,-y+1/2,-z+1/2'
'-y+1/4,x+3/4,z+3/4'
'y+1/4,-x+3/4,-z+3/4'
'-x,-y+1/2,z'
'x,y+1/2,-z'
'y+1/4,-x+1/4,z+1/4'
'-y+1/4,x+1/4,-z+1/4'
loop_
_atom_site_label
_atom_site_fract_x
_atom_site_fract_y
_atom_site_fract_z
Al1 0.000 0.250 0.125
Ni1 0.125 0.403 0.890
Sn1 0.000 0.250 0.625
# ΔE_f: 0.05 eV per atom

---

13.
# KTmCd2Br8 | Alexandria | PBE | relaxed
data_KTmCd2Br8
_chemical_formula_sum 'K1 Tm1 Cd2 Br8'
_cell_length_a 6.533
_cell_length_b 6.921
_cell_length_c 8.735
_cell_angle_alpha 89.71
_cell_angle_beta 89.57
_cell_angle_gamma 89.29
_space_group_name_H-M_alt 'P -1'
_space_group_IT_number 2
loop_
_space_group_symop_operation_xyz
'x,y,z'
'-x,-y,-z'
loop_
_atom_site_label
_atom_site_fract_x
_atom_site_fract_y
_atom_site_fract_z
K1 0.000 0.000 0.000
Tm1 0.000 0.000 0.500
Cd1 0.497 0.498 0.249
Br1 0.247 0.834 0.719
Br2 0.250 0.836 0.280
Br3 0.259 0.334 0.500
Br4 0.266 0.381 0.000
# energy relative to the elements, uncorrected: -1271 meV per atom

---

14.
# UCd3Cl2O6 | Alexandria | PBE | relaxed
data_UCd3Cl2O6
_chemical_formula_sum 'U2 Cd6 Cl4 O12'
_cell_length_a 12.318
_cell_length_b 6.574
_cell_length_c 5.358
_cell_angle_alpha 90.00
_cell_angle_beta 94.38
_cell_angle_gamma 90.00
_space_group_name_H-M_alt 'C 1 2/m 1'
_space_group_IT_number 12
loop_
_space_group_symop_operation_xyz
'x,y,z'
'-x,-y,-z'
'-x,y,-z'
'x,-y,z'
'x+1/2,y+1/2,z'
'-x+1/2,-y+1/2,-z'
'-x+1/2,y+1/2,-z'
'x+1/2,-y+1/2,z'
loop_
_atom_site_label
_atom_site_fract_x
_atom_site_fract_y
_atom_site_fract_z
U1 0.000 0.000 0.000
Cd1 0.000 0.500 0.500
Cd2 0.250 0.250 0.000
Cl1 0.195 0.500 0.350
O1 0.052 0.232 0.785
O2 0.163 0.000 0.162
# energy relative to the elements, uncorrected: -1397 meV per atom

---

15.
# Dy5ScBi6 | Alexandria | PBE | relaxed
data_Dy5ScBi6
_chemical_formula_sum 'Dy10 Sc2 Bi12'
_cell_length_a 7.699
_cell_length_b 13.336
_cell_length_c 7.700
_cell_angle_alpha 90.00
_cell_angle_beta 109.52
_cell_angle_gamma 90.00
_space_group_name_H-M_alt 'C 1 2/m 1'
_space_group_IT_number 12
loop_
_space_group_symop_operation_xyz
'x,y,z'
'-x,-y,-z'
'-x,y,-z'
'x,-y,z'
'x+1/2,y+1/2,z'
'-x+1/2,-y+1/2,-z'
'-x+1/2,y+1/2,-z'
'x+1/2,-y+1/2,z'
loop_
_atom_site_label
_atom_site_fract_x
_atom_site_fract_y
_atom_site_fract_z
Dy1 0.000 0.000 0.000
Dy2 0.000 0.165 0.500
Dy3 0.000 0.330 0.000
Sc1 0.000 0.500 0.500
Bi1 0.242 0.500 0.252
Bi2 0.244 0.337 0.744
# ΔE_f: -0.82 eV per atom

---

16.
# Y4CS3 | Alexandria | PBE | relaxed
data_Y4CS3
_chemical_formula_sum 'Y8 C2 S6'
_cell_length_a 7.808
_cell_length_b 10.922
_cell_length_c 3.808
_cell_angle_alpha 90.00
_cell_angle_beta 90.00
_cell_angle_gamma 90.00
_space_group_name_H-M_alt 'C m m m'
_space_group_IT_number 65
_space_group_name_Hall '-C 2 2'
loop_
_atom_site_label
_atom_site_fract_x
_atom_site_fract_y
_atom_site_fract_z
Y1 0.000 0.231 0.000
Y2 0.219 0.000 0.500
C1 0.000 0.000 0.000
S1 0.000 0.500 0.000
S2 0.250 0.250 0.500
# energy relative to the elements, uncorrected: -1683 meV per atom

---

17.
# FeRh2Se | Alexandria | PBE | relaxed
data_FeRh2Se
_chemical_formula_sum 'Fe1 Rh2 Se1'
_cell_length_a 2.861
_cell_length_b 4.064
_cell_length_c 5.224
_cell_angle_alpha 90.00
_cell_angle_beta 104.33
_cell_angle_gamma 90.00
_space_group_name_H-M_alt 'P 1 2/m 1'
_space_group_IT_number 10
loop_
_space_group_symop_operation_xyz
'x,y,z'
'-x,-y,-z'
'-x,y,-z'
'x,-y,z'
loop_
_atom_site_label
_atom_site_fract_x
_atom_site_fract_y
_atom_site_fract_z
Fe1 0.000 0.000 0.000
Rh1 0.361 0.500 0.745
Se1 0.000 0.000 0.500
# energy relative to the elements, uncorrected: 113 meV per atom

---

18.
# Co2PBr | Alexandria | PBE | relaxed
data_Co2PBr
_chemical_formula_sum 'Co4 P2 Br2'
_cell_length_a 6.031
_cell_length_b 6.038
_cell_length_c 2.959
_cell_angle_alpha 90.00
_cell_angle_beta 90.00
_cell_angle_gamma 90.00
_space_group_name_H-M_alt 'C m m m'
_space_group_IT_number 65
_space_group_name_Hall '-C 2 2'
loop_
_atom_site_label
_atom_site_fract_x
_atom_site_fract_y
_atom_site_fract_z
Co1 0.250 0.250 0.000
P1 0.000 0.000 0.500
Br1 0.000 0.500 0.500
# energy relative to the elements, uncorrected: 571 meV per atom

---

19.
# Li2DyReN4 | Alexandria | PBE | relaxed
data_Li2DyReN4
_chemical_formula_sum 'Li8 Dy4 Re4 N16'
_cell_length_a 6.766
_cell_length_b 7.732
_cell_length_c 8.476
_cell_angle_alpha 90.00
_cell_angle_beta 90.00
_cell_angle_gamma 90.00
_space_group_name_H-M_alt 'I m a 2'
_space_group_IT_number 46
loop_
_space_group_symop_operation_xyz
'x,y,z'
'-x,-y,z'
'-x+1/2,y,z'
'x+1/2,-y,z'
'x+1/2,y+1/2,z+1/2'
'-x+1/2,-y+1/2,z+1/2'
'-x,y+1/2,z+1/2'
'x,-y+1/2,z+1/2'
loop_
_atom_site_label
_atom_site_fract_x
_atom_site_fract_y
_atom_site_fract_z
Li1 0.000 0.000 0.000
Li2 0.250 0.160 0.270
Dy1 0.000 0.000 0.614
Re1 0.250 0.716 0.784
N1 0.028 0.700 0.664
N2 0.250 0.536 0.934
N3 0.250 0.549 0.330
# energy relative to the elements, uncorrected: -727 meV per atom

---

20.
# HfUS | Alexandria | PBE | relaxed
data_HfUS
_chemical_formula_sum 'Hf2 U2 S2'
_cell_length_a 3.564
_cell_length_b 4.132
_cell_length_c 8.799
_cell_angle_alpha 90.00
_cell_angle_beta 90.00
_cell_angle_gamma 90.00
_space_group_name_H-M_alt 'P m m n'
_space_group_IT_number 59
loop_
_space_group_symop_operation_xyz
'x,y,z'
'-x,-y,-z'
'-x+1/2,-y+1/2,z'
'x+1/2,y+1/2,-z'
'x+1/2,-y,-z'
'-x+1/2,y,z'
'-x,y+1/2,-z'
'x,-y+1/2,z'
loop_
_atom_site_label
_atom_site_fract_x
_atom_site_fract_y
_atom_site_fract_z
Hf1 0.250 0.250 0.072
U1 0.250 0.250 0.673
S1 0.250 0.250 0.363
# energy relative to the elements, uncorrected: -754 meV per atom

---

21.
# Co4Cu2W | Alexandria | PBE | relaxed
data_Co4Cu2W
_chemical_formula_sum 'Co8 Cu4 W2'
_cell_length_a 4.409
_cell_length_b 4.409
_cell_length_c 11.814
_cell_angle_alpha 90.00
_cell_angle_beta 90.00
_cell_angle_gamma 90.00
_space_group_name_H-M_alt 'I 4/m m m'
_space_group_IT_number 139
_space_group_name_Hall '-I 4 2'
loop_
_atom_site_label
_atom_site_fract_x
_atom_site_fract_y
_atom_site_fract_z
Co1 0.000 0.000 0.193
Co2 0.000 0.500 0.000
Cu1 0.000 0.000 0.396
W1 0.000 0.000 0.000
# ΔE_f: 1.30 eV per atom

---

22.
# LiTmSc | Alexandria | PBE | relaxed
data_LiTmSc
_chemical_formula_sum 'Li4 Tm4 Sc4'
_cell_length_a 5.797
_cell_length_b 3.351
_cell_length_c 15.702
_cell_angle_alpha 90.00
_cell_angle_beta 90.06
_cell_angle_gamma 90.00
_space_group_name_H-M_alt 'C 1 2/m 1'
_space_group_IT_number 12
loop_
_space_group_symop_operation_xyz
'x,y,z'
'-x,-y,-z'
'-x,y,-z'
'x,-y,z'
'x+1/2,y+1/2,z'
'-x+1/2,-y+1/2,-z'
'-x+1/2,y+1/2,-z'
'x+1/2,-y+1/2,z'
loop_
_atom_site_label
_atom_site_fract_x
_atom_site_fract_y
_atom_site_fract_z
Li1 0.168 0.000 0.425
Tm1 0.002 0.500 0.254
Sc1 0.168 0.000 0.083
# ΔE_f: 0.08 eV per atom

---

23.
# LiPd3Pt2 | Alexandria | PBE | relaxed
data_LiPd3Pt2
_chemical_formula_sum 'Li2 Pd6 Pt4'
_cell_length_a 6.474
_cell_length_b 2.779
_cell_length_c 9.826
_cell_angle_alpha 90.00
_cell_angle_beta 90.94
_cell_angle_gamma 90.00
_space_group_name_H-M_alt 'P 1 21/m 1'
_space_group_IT_number 11
loop_
_space_group_symop_operation_xyz
'x,y,z'
'-x,-y,-z'
'-x,y+1/2,-z'
'x,-y+1/2,z'
loop_
_atom_site_label
_atom_site_fract_x
_atom_site_fract_y
_atom_site_fract_z
Li1 0.181 0.250 0.252
Pd1 0.082 0.250 0.888
Pd2 0.344 0.750 0.436
Pd3 0.402 0.750 0.752
Pt1 0.092 0.250 0.609
Pt2 0.343 0.750 0.060
# ΔE_f: -0.15 eV per atom

---

no.,uncorrected energy (eV per atom)
1,-8.32
2,-8.79
3,-2.00
4,-2.41
5,-4.40
6,-2.17
7,-2.92
8,-4.48
9,-3.55
10,-5.65
11,-4.43
12,-5.10
13,-3.00
14,-5.35
15,-5.21
16,-7.62
17,-6.55
18,-4.75
19,-7.50
20,-9.21
21,-5.78
22,-4.16
23,-5.08